1.
The following is a PBE-GGA calculation of a relaxed NaPIF2 crystal, from the Alexandria database.

For the total moment, the calculation gives 1.5 μB/cell. As for the formation energy from raw total energies: -3.2 eV/f.u.

The structure belongs to space group P4/mmm (No. 123); the cell edges are 4.155, 4.155 and 6.221 Å and the angles 90.00°, 90.00° and 90.00°. Symmetry generates all atoms from Na at (0.000, 0.000, 0.000), P at (0.500, 0.500, 0.500), I at (0.000, 0.000, 0.500) and F at (0.000, 0.500, 0.000).



2.
The following is a PBE-GGA calculation of a relaxed Rb2NaIF6 crystal, from the Alexandria database.

For the total moment, the calculation gives 4.0 μB/cell. As for the formation energy from raw total energies: -20.6 eV/f.u.

The structure belongs to space group I4/mmm (No. 139); the cell edges are 6.720, 6.720 and 8.663 Å and the angles 90.00°, 90.00° and 90.00°. Symmetry generates all atoms from Rb at (0.000, 0.500, 0.250), Na at (0.000, 0.000, 0.000), I at (0.000, 0.000, 0.500), F at (0.000, 0.000, 0.264) and F at (0.240, 0.240, 0.000).



3.
The following is a PBE-GGA calculation of a relaxed Rb2NaIF crystal, from the Alexandria database.

For the total moment, the calculation gives 0.0 μB/cell. As for the formation energy from raw total energies: -7.4 eV/f.u.

The structure belongs to space group P4/mmm (No. 123); the cell edges are 6.276, 6.276 and 4.708 Å and the angles 90.00°, 90.00° and 90.00°. Symmetry generates all atoms from Rb at (0.000, 0.500, 0.000), Na at (0.000, 0.000, 0.500), I at (0.500, 0.500, 0.500) and F at (0.000, 0.000, 0.000).



4.
The following is a PBE-GGA calculation of a relaxed RbNa2IF crystal, from the Alexandria database.

For the total moment, the calculation gives 0.0 μB/cell. As for the formation energy from raw total energies: -7.1 eV/f.u.

The structure belongs to space group P4/mmm (No. 123); the cell edges are 4.949, 4.949 and 6.866 Å and the angles 90.00°, 90.00° and 90.00°. Symmetry generates all atoms from Rb at (0.000, 0.000, 0.000), Na at (0.000, 0.500, 0.500), I at (0.500, 0.500, 0.000) and F at (0.000, 0.000, 0.500).